## Nd2Dy3Fe2B6 (PBE)

Data for crystalline Nd2Dy3Fe2B6 at its relaxed geometry.

Output
Energy above the most stable polymorph in this dataset (kJ per mole of atoms): 0.0
DFT total energy (eV per cell): -85.90
Crystal system: trigonal

abc: 8.5205 8.5205 8.5205
angles: 37.17 37.17 37.17
Last column: magnetic moment on the atom in μB.
Positions (direct):
1 B 0.8330 0.5000 0.1670  0.00
2 Nd 0.7460 0.7460 0.7460  0.00
3 Nd 0.2540 0.2540 0.2540  0.00
4 B 0.5000 0.8330 0.1670  0.00
5 Fe 0.8794 0.8794 0.8794  0.31
6 Fe 0.1206 0.1206 0.1206  0.31
7 Dy 0.0000 0.0000 0.0000  0.04
8 Dy 0.4196 0.4196 0.4196  0.00
9 B 0.1670 0.5000 0.8330  0.00
10 B 0.1670 0.8330 0.5000  0.00
11 Dy 0.5804 0.5804 0.5804  0.00
12 B 0.8330 0.1670 0.5000  0.00
13 B 0.5000 0.1670 0.8330  0.00